No. 1
Density functional theory data (GGA-PBE) for a geometry-optimized Ti2ReMoW6 structure.

Unit cell a=6.6562 b=6.6562 c=13.8488 alpha=90.00 beta=90.00 gamma=120.00
Space group R3 (No. 146, hexagonal axes)
Inequivalent atoms, fractional coordinates:
Ti 0.0000 0.0000 0.0000
Ti 0.0000 0.0000 0.4970
Re 0.0000 0.0000 0.6751
Mo 0.0000 0.0000 0.1741
W 0.0053 0.2364 0.8368
W 0.0130 0.7692 0.3346

For the density, the calculation gives 13884 kg/m3. The crystal system is trigonal. For the total energy, the calculation gives -10.825 eV/atom. Its energy of formation from the pure elements is 854.2 meV per atom. Its size of the total moment is 0.00 Bohr magnetons per cell.


No. 2
Density functional theory data (GGA-PBE) for a geometry-optimized TiReMo2W structure.

Unit cell a=5.220 b=4.492 c=6.837 alpha=90.00 beta=102.31 gamma=90.00
Space group P2_1/m (No. 11)
Inequivalent atoms, fractional coordinates:
Ti 0.150 0.250 0.050
Re 0.052 0.750 0.348
Mo 0.251 0.750 0.750
Mo 0.350 0.250 0.450
W 0.448 0.750 0.152

For the density, the calculation gives 12928 kg/m3. The crystal system is monoclinic. For the total energy, the calculation gives -11.124 eV/atom. Its energy of formation from the pure elements is -131.9 meV per atom. Its size of the total moment is 0.00 Bohr magnetons per cell.


No. 3
Density functional theory data (GGA-PBE) for a geometry-optimized TiRe2Mo2W2 structure.

Unit cell a=14.128 b=2.607 c=7.138 alpha=90.00 beta=120.13 gamma=90.00
Space group C2/m (No. 12)
Inequivalent atoms, fractional coordinates:
Ti 0.000 0.000 0.000
Re 0.144 0.500 0.876
Mo 0.072 0.500 0.424
W 0.215 0.000 0.288

For the density, the calculation gives 14310 kg/m3. The crystal system is monoclinic. For the total energy, the calculation gives -11.086 eV/atom. Its energy of formation from the pure elements is 393.5 meV per atom. Its size of the total moment is 0.00 Bohr magnetons per cell.


No. 4
Density functional theory data (GGA-PBE) for a geometry-optimized Ti2Re2Mo6W structure.

Unit cell a=5.1646 b=5.1646 c=27.4867 alpha=90.00 beta=90.00 gamma=120.00
Space group R-3m (No. 166, hexagonal axes)
Inequivalent atoms, fractional coordinates:
Ti 0.0000 0.0000 0.1694
Re 0.0000 0.0000 0.4556
Mo 0.0009 0.5005 0.4116
W 0.0000 0.0000 0.0000

For the density, the calculation gives 9632 kg/m3. The crystal system is trigonal. For the total energy, the calculation gives -10.012 eV/atom. Its energy of formation from the pure elements is 772.3 meV per atom. Its size of the total moment is 0.00 Bohr magnetons per cell.


No. 5
Density functional theory data (GGA-PBE) for a geometry-optimized YTiRe2Mo structure.

Unit cell a=4.704 b=4.704 c=4.552 alpha=90.00 beta=90.00 gamma=90.00
Space group P4/mmm (No. 123)
Inequivalent atoms, fractional coordinates:
Y 0.000 0.000 0.000
Ti 0.500 0.500 0.500
Re 0.000 0.500 0.500
Mo 0.500 0.500 0.000

For the density, the calculation gives 9976 kg/m3. The crystal system is tetragonal. For the total energy, the calculation gives -8.905 eV/atom. Its energy of formation from the pure elements is 1112.1 meV per atom. Its size of the total moment is 0.82 Bohr magnetons per cell.


No. 6
Density functional theory data (GGA-PBE) for a geometry-optimized TiZnReMo structure.

Unit cell a=6.247 b=6.247 c=6.247 alpha=90.00 beta=90.00 gamma=90.00
Space group F-43m (No. 216)
Inequivalent atoms, fractional coordinates:
Ti 0.000 0.000 0.000
Zn 0.250 0.250 0.750
Re 0.250 0.250 0.250
Mo 0.000 0.000 0.500

For the density, the calculation gives 10774 kg/m3. The crystal system is cubic. For the total energy, the calculation gives -8.185 eV/atom. Its energy of formation from the pure elements is -73.0 meV per atom. Its size of the total moment is 0.00 Bohr magnetons per cell.


> Which value of energy of formation from the pure elements does entry 6 give?

-73.0 meV per atom


> Number 5 is which compound?

YTiRe2Mo